The following is a GGA-PBE calculation of an optimized crystal structure of CaTc2Ag, from the Alexandria database.

- Energy above the lowest structure with this stoichiometry: 360 meV/atom
- E_form: 0.56 eV/atom
- Electronic total energy: -5.83 eV per atom
- V: 18.01 Å³/atom

Structure (POSCAR):
```
CaTc2Ag
1.0
-1.567 2.239 5.135
1.567 -2.239 5.135
1.567 2.239 -5.135
Ca Tc Ag
1 2 1
direct
0.000 0.000 0.000 Ca
0.263 0.763 0.500 Tc
0.737 0.237 0.500 Tc
0.500 0.500 0.000 Ag
```